[1]
DyCuAg2Se4 after structural relaxation. Source: Alexandria via LeMat-Bulk, functional PBE.

Cell: 7.1689 7.1689 12.9887 Å, 90.00 90.00 147.81°
With the nearest neighbours (Å) after each atom.
Positions (direct):
1 Dy 0.0936 0.9064 0.7500  6 Se 2.91-2.93
2 Dy 0.9064 0.0936 0.2500  6 Se 2.91-2.93
3 Cu 0.1692 0.8308 0.2500  4 Se 2.45-2.47
4 Cu 0.8308 0.1692 0.7500  4 Se 2.45-2.47
5 Ag 0.3714 0.6286 0.5597  4 Se 2.61-2.77
6 Ag 0.3714 0.6286 0.9403  4 Se 2.61-2.77
7 Ag 0.6286 0.3714 0.0597  4 Se 2.61-2.77
8 Ag 0.6286 0.3714 0.4403  4 Se 2.61-2.77
9 Se 0.0000 0.0000 0.0000  4 Ag 2.77
10 Se 0.0000 0.0000 0.5000  4 Ag 2.77
11 Se 0.3043 0.6957 0.1279  1 Cu 2.45, 1 Ag 2.61
12 Se 0.3043 0.6957 0.3721  1 Cu 2.45, 1 Ag 2.61
13 Se 0.4370 0.5630 0.7500  2 Cu 2.47, 2 Ag 2.63
14 Se 0.5630 0.4370 0.2500  2 Cu 2.47, 2 Ag 2.63
15 Se 0.6957 0.3043 0.6279  1 Cu 2.45, 1 Ag 2.61
16 Se 0.6957 0.3043 0.8721  1 Cu 2.45, 1 Ag 2.61

Results
total DFT energy (no corrections)	-4.091	eV/atom
symmetry	Cmcm
formation energy from raw total energies	-0.55	eV/atom

---

[2]
SmDyCuAg after structural relaxation. Source: Alexandria via LeMat-Bulk, functional PBE.

Cell: 5.0958 5.0958 5.0958 Å, 60.00 60.00 60.00°
With the nearest neighbours (Å) after each atom.
Positions (direct):
1 Sm 0.0000 0.0000 0.0000  4 Ag 3.12, 4 Cu 3.12
2 Dy 0.5000 0.5000 0.5000  4 Ag 3.12, 4 Cu 3.12
3 Cu 0.2500 0.2500 0.2500  4 Dy 3.12, 4 Sm 3.12
4 Ag 0.7500 0.7500 0.7500  4 Dy 3.12, 4 Sm 3.12

Results
total DFT energy (no corrections)	-4.300	eV/atom
symmetry	F-43m
E_form	-0.23	eV/atom
energy above the lowest structure with this stoichiometry	0.025	eV per atom

---

[3]
SmDyCuAg after structural relaxation. Source: Alexandria via LeMat-Bulk, functional PBE.

Cell: 3.5773 3.5773 7.2446 Å, 90.00 90.00 90.00°
With the nearest neighbours (Å) after each atom.
Positions (direct):
1 Sm 0.0000 0.0000 0.0000  4 Cu 3.10, 4 Ag 3.22, 1 Dy 3.42
2 Dy 0.0000 0.0000 0.4726  4 Cu 3.01, 4 Ag 3.12
3 Cu 0.5000 0.5000 0.2479  4 Dy 3.01, 4 Sm 3.10
4 Ag 0.5000 0.5000 0.7244  4 Dy 3.12, 4 Sm 3.22, 1 Cu 3.45

Results
total DFT energy (no corrections)	-4.325	eV/atom
symmetry	P4mm
E_form	-0.26	eV/atom
energy above the lowest structure with this stoichiometry	0.000	eV per atom